This record from Alexandria via LeMat-Bulk describes In2Ag2Bi after structural relaxation. The functional is GGA-PBE.

Geometry as POSCAR:
```
In2Ag2Bi
1.0
4.013 0.000 0.000
0.000 4.013 0.000
2.006 2.006 7.783
Bi Ag In
1 2 2
Cartesian
0.000 0.000 0.000 Bi
4.013 2.006 3.891 Ag
2.006 4.013 3.891 Ag
2.006 2.006 1.669 In
4.013 4.013 6.114 In
```

Crystal system: tetragonal
Volume: 25.06 Å³/atom
Fermi-level density of states: 0.4230 states/eV/atom
Relative energy among the computed polymorphs: 66.4 meV/atom
Energy of formation: 0.6 eV/f.u.


This record from Alexandria via LeMat-Bulk describes CrP4 after structural relaxation. The functional is GGA-PBE.

Geometry as POSCAR:
```
CrP4
1.0
6.331 0.082 -0.016
-0.063 5.012 1.143
0.076 -1.022 4.485
Cr P
2 8
Cartesian
-0.031 2.506 0.571 Cr
3.166 0.041 -0.008 Cr
4.493 2.859 4.094 P
5.023 0.839 1.415 P
1.852 1.214 1.518 P
1.826 3.304 1.994 P
1.322 3.233 4.197 P
1.359 0.312 3.530 P
4.519 0.768 3.617 P
4.986 3.761 2.081 P
```

Crystal system: monoclinic
Volume: 14.97 Å³/atom
Fermi-level density of states: 0.4280 states/eV/atom
Energy of formation: -0.4 eV/f.u.


This record from Alexandria via LeMat-Bulk describes Sr3SbO after structural relaxation. The functional is GGA-PBE.

Geometry as POSCAR:
```
Sr3SbO
1.0
5.142 0.000 0.000
0.000 5.142 0.000
0.000 0.000 5.142
Sb O Sr
1 1 3
Cartesian
2.571 2.571 2.571 Sb
0.000 0.000 0.000 O
0.000 2.571 0.000 Sr
0.000 0.000 2.571 Sr
2.571 0.000 0.000 Sr
```

Crystal system: cubic
Volume: 27.20 Å³/atom
Formation energy (no corrections): -7.6 eV per formula unit
Fermi-level density of states: 0.6296 states/eV/atom
Relative energy among the computed polymorphs: 0.0 meV/atom


This record from Alexandria via LeMat-Bulk describes KNdMgO3 after structural relaxation. The functional is GGA-PBE.

Geometry as POSCAR:
```
KNdMgO3
1.0
-0.233 3.419 1.311
-7.379 -0.824 0.836
3.863 -2.777 7.927
K Nd Mg O
2 2 2 6
Cartesian
-3.008 -0.461 8.369 K
-0.742 0.280 1.705 K
-4.363 -0.103 2.059 Nd
0.613 -0.079 8.015 Nd
1.878 -0.894 5.233 Mg
-5.628 0.713 4.842 Mg
-4.730 -1.009 4.357 O
-6.052 1.382 3.022 O
-3.014 1.872 2.284 O
0.980 0.828 5.717 O
-0.736 -2.053 7.790 O
2.302 -1.563 7.052 O
```

Crystal system: monoclinic
Volume: 20.26 Å³/atom
Formation energy (no corrections): -14.9 eV per formula unit
Fermi-level density of states: 0.0000 states/eV/atom


This record from Alexandria via LeMat-Bulk describes La3CeY2Sb6 after structural relaxation. The functional is GGA-PBE.

Geometry as POSCAR:
```
La3CeY2Sb6
1.0
-5.350 2.087 -5.339
-1.565 -5.773 5.069
-0.507 6.159 4.836
La Ce Y Sb
3 1 2 6
Cartesian
-2.446 -1.391 5.762 La
-4.976 3.863 -1.195 La
-3.711 1.236 2.283 La
0.000 0.000 0.000 Ce
-2.826 -3.155 1.602 Y
-4.089 -0.532 -1.871 Y
-6.224 3.230 1.732 Sb
-5.264 -1.278 0.949 Sb
-1.197 -0.758 2.834 Sb
-4.955 0.594 5.222 Sb
-2.158 3.751 3.617 Sb
-2.466 1.878 -0.656 Sb
```

Crystal system: monoclinic
Volume: 32.82 Å³/atom
Formation energy (no corrections): -14.4 eV per formula unit
Fermi-level density of states: 0.5118 states/eV/atom


This record from Alexandria via LeMat-Bulk describes TaVTcSb after structural relaxation. The functional is GGA-PBE.

Geometry as POSCAR:
```
TaVTcSb
1.0
-1.317 -2.326 3.669
-1.615 -4.219 -0.446
2.453 -3.534 1.448
Sb V Tc Ta
1 1 1 1
Cartesian
-0.239 -5.039 2.335 Sb
-0.359 -7.559 3.503 V
-0.120 -2.520 1.168 Tc
0.000 0.000 0.000 Ta
```

Crystal system: cubic
Volume: 16.53 Å³/atom
Formation energy (no corrections): -0.2 eV per formula unit
Fermi-level density of states: 1.0118 states/eV/atom


This record from Alexandria via LeMat-Bulk describes CoHgP2 after structural relaxation. The functional is GGA-PBE.

Geometry as POSCAR:
```
CoHgP2
1.0
4.486 0.000 0.000
2.243 3.885 0.000
2.243 1.295 3.662
Co Hg P
1 1 2
Cartesian
4.486 2.590 1.831 Co
2.243 1.295 0.916 Hg
0.000 0.000 0.000 P
6.728 3.885 2.747 P
```

Crystal system: cubic
Volume: 15.95 Å³/atom
Fermi-level density of states: 1.1642 states/eV/atom
Energy of formation: 3.3 eV/f.u.


This record from Alexandria via LeMat-Bulk describes KInBrCl after structural relaxation. The functional is GGA-PBE.

Geometry as POSCAR:
```
KInBrCl
1.0
7.626 0.000 0.002
0.000 4.584 0.000
-7.236 0.000 8.312
K Cl Br In
2 2 2 2
Cartesian
1.945 0.000 5.073 K
5.563 2.292 0.917 K
-0.224 0.000 7.518 Cl
3.394 2.292 3.362 Cl
-0.783 0.000 3.145 Br
-4.401 2.292 7.301 Br
1.663 0.000 0.912 In
-1.955 2.292 5.068 In
```

Crystal system: monoclinic
Volume: 36.34 Å³/atom
Formation energy (no corrections): -5.0 eV per formula unit
Fermi-level density of states: 0.0000 states/eV/atom
Relative energy among the computed polymorphs: 41.8 meV/atom


This record from Alexandria via LeMat-Bulk describes TaRh2W after structural relaxation. The functional is GGA-PBE.

Geometry as POSCAR:
```
TaRh2W
1.0
1.406 4.635 -0.013
-1.406 4.635 -0.013
0.000 0.847 4.790
Ta Rh W
1 2 1
Cartesian
0.000 0.423 2.395 Ta
0.000 2.948 3.615 Rh
0.000 7.170 1.148 Rh
0.000 4.635 -0.013 W
```

Crystal system: monoclinic
Volume: 15.62 Å³/atom
Fermi-level density of states: 0.8850 states/eV/atom
Relative energy among the computed polymorphs: 204.1 meV/atom
Energy of formation: -0.5 eV/f.u.